Here is crystalline TbPr2ErO6 at its relaxed geometry from Alexandria via LeMat-Bulk. Energies are from GGA-PBE.

a b c (Å): 5.983 5.983 6.158
angles (deg): 60.93 60.93 60.00
Atoms (fractional coordinates):
Tb: 0.810 0.810 0.571
Pr: 0.533 0.533 0.402
Pr: 0.032 0.032 0.904
Er: 0.311 0.311 0.067
O: 0.607 0.188 0.260
O: 0.188 0.944 0.260
O: 0.944 0.607 0.260
O: 0.439 0.685 0.763
O: 0.685 0.112 0.763
O: 0.112 0.439 0.763

Calculated values
D(E_F)	0.000	states/eV/atom
formation energy from raw total energies	-3.416	eV per atom
spin magnetization	0.00	μB per formula unit